Cd2NiW after structural relaxation, computed with GGA-PBE.

## Properties
Formation energy from the elements = 0.479 eV/atom
Space group = R-3m (166)
Energy above the lowest structure with this stoichiometry = 279 meV per atom
E_tot = -4.66 eV per atom
Calculated density = 11.50 Mg/m³

Lattice parameters (Å, degrees): 9.4929 9.4929 9.4929 17.50 17.50 17.50
Fractional positions:
Cd (0.2438, 0.2438, 0.2438)
Cd (0.7562, 0.7562, 0.7562)
Ni (0.5000, 0.5000, 0.5000)
W (0.0000, 0.0000, 0.0000)


Cd2NiW after structural relaxation, computed with GGA-PBE.

## Properties
Formation energy from the elements = 0.526 eV/atom
Space group = C2/m (12)
Energy above the lowest structure with this stoichiometry = 327 meV per atom
E_tot = -4.62 eV per atom
Calculated density = 11.65 Mg/m³

Lattice parameters (Å, degrees): 5.6572 5.6572 4.7800 114.91 114.91 28.91
Fractional positions:
Cd (0.2261, 0.2261, 0.2262)
Cd (0.7739, 0.7739, 0.7738)
Ni (0.5000, 0.5000, 0.0000)
W (0.0000, 0.0000, 0.5000)


CdNiW4 after structural relaxation, computed with GGA-PBE.

## Properties
Formation energy from the elements = 0.756 eV/atom
Space group = F-43m (216)
E_tot = -9.00 eV per atom
Calculated density = 14.40 Mg/m³

Lattice parameters (Å, degrees): 5.2870 5.2870 5.2870 60.00 60.00 60.00
Fractional positions:
Cd (0.0000, 0.0000, 0.0000)
Ni (0.7500, 0.7500, 0.7500)
W (0.3749, 0.3749, 0.3749)
W (0.3749, 0.3749, 0.8753)
W (0.3749, 0.8753, 0.3749)
W (0.8753, 0.3749, 0.3749)


Cd2NiW after structural relaxation, computed with GGA-PBE.

## Properties
Formation energy from the elements = 0.281 eV/atom
Space group = R3m (160)
Energy above the lowest structure with this stoichiometry = 81 meV per atom
E_tot = -4.86 eV per atom
Calculated density = 11.16 Mg/m³

Lattice parameters (Å, degrees): 9.9238 9.9238 9.9238 16.59 16.59 16.59
Fractional positions:
Cd (0.0000, 0.0000, 0.0000)
Cd (0.2332, 0.2332, 0.2332)
Ni (0.7447, 0.7447, 0.7447)
W (0.4778, 0.4778, 0.4778)